[1]
An optimized crystal structure of Cs2KAg, computed with PBE-GGA.

```
Cs2KAg
1.0
13.2657 0.0000 0.0000
0.0000 13.2657 0.0000
0.0000 0.0000 6.9603
Cs K Ag
8 4 4
Direct
0.1141 0.2500 0.1250
0.2500 0.6141 0.3750
0.2500 0.8859 0.8750
0.3859 0.2500 0.6250
0.6141 0.7500 0.6250
0.7500 0.1141 0.8750
0.7500 0.3859 0.3750
0.8859 0.7500 0.1250
0.0000 0.0000 0.5000
0.0000 0.5000 0.7500
0.5000 0.0000 0.2500
0.5000 0.5000 0.0000
0.0000 0.0000 0.0000
0.0000 0.5000 0.2500
0.5000 0.0000 0.7500
0.5000 0.5000 0.5000
```

Computed properties:
**Electronic total energy**: -1.333 eV/atom
**Space-group type**: No. 122
**Energy relative to the lowest polymorph listed for this composition**: 62.9 meV per atom
**Theoretical density**: 2.238 g/cm³
**Fermi-level density of states**: 2.05 states/eV/f.u.

***

[2]
An optimized crystal structure of Be2SbRu, computed with PBE-GGA.

```
Be2SbRu
1.0
3.6823 0.0000 0.0000
0.0000 3.6823 0.0000
0.0000 0.0000 7.8247
Be Sb Ru
4 2 2
Direct
0.0000 0.0000 0.0000
0.0000 0.5000 0.2500
0.5000 0.0000 0.7500
0.5000 0.5000 0.5000
0.0000 0.0000 0.5000
0.5000 0.5000 0.0000
0.0000 0.5000 0.7500
0.5000 0.0000 0.2500
```

Computed properties:
**Electronic total energy**: -5.086 eV/atom
**Space-group type**: No. 119
**Theoretical density**: 7.539 g/cm³
**Fermi-level density of states**: 1.92 states/eV/f.u.
**Formation energy without anion corrections**: 0.13 eV per atom

***

[3]
An optimized crystal structure of Hf4BiPb, computed with PBE-GGA.

```
Hf4BiPb
1.0
5.8517 0.0000 0.0000
0.0000 6.0076 0.0000
-2.6552 0.0000 7.9863
Hf Bi Pb
8 2 2
Direct
0.1417 0.2500 0.0264
0.2143 0.0002 0.6800
0.2143 0.4998 0.6800
0.2324 0.7500 0.3284
0.7676 0.2500 0.6716
0.7857 0.9998 0.3200
0.7857 0.5002 0.3200
0.8583 0.7500 0.9736
0.3754 0.7500 0.0249
0.6246 0.2500 0.9751
0.3037 0.2500 0.3860
0.6963 0.7500 0.6140
```

Computed properties:
**Electronic total energy**: -7.955 eV/atom
**Space-group type**: No. 11
**Energy relative to the lowest polymorph listed for this composition**: 32.6 meV per atom
**Theoretical density**: 13.369 g/cm³
**Fermi-level density of states**: 3.66 states/eV/f.u.

***

Copy entry 1 word for word.
An optimized crystal structure of Cs2KAg, computed with PBE-GGA.

```
Cs2KAg
1.0
13.2657 0.0000 0.0000
0.0000 13.2657 0.0000
0.0000 0.0000 6.9603
Cs K Ag
8 4 4
Direct
0.1141 0.2500 0.1250
0.2500 0.6141 0.3750
0.2500 0.8859 0.8750
0.3859 0.2500 0.6250
0.6141 0.7500 0.6250
0.7500 0.1141 0.8750
0.7500 0.3859 0.3750
0.8859 0.7500 0.1250
0.0000 0.0000 0.5000
0.0000 0.5000 0.7500
0.5000 0.0000 0.2500
0.5000 0.5000 0.0000
0.0000 0.0000 0.0000
0.0000 0.5000 0.2500
0.5000 0.0000 0.7500
0.5000 0.5000 0.5000
```

Computed properties:
**Electronic total energy**: -1.333 eV/atom
**Space-group type**: No. 122
**Energy relative to the lowest polymorph listed for this composition**: 62.9 meV per atom
**Theoretical density**: 2.238 g/cm³
**Fermi-level density of states**: 2.05 states/eV/f.u.

***

- Look up the Fermi-level density of states of the first one.
  2.05 states/eV/f.u.

***

- Look up the theoretical density of the third one.
  13.369 g/cm³